#one
VASP calculation (PBE) on MnCu2Ag after structural relaxation.

Results
DOS at the Fermi energy = 2.36 states/eV/cell
Size of the total moment = 3.7 μB/f.u.

Unit cell a=8.731 b=8.731 c=8.731 alpha=18.25 beta=18.25 gamma=18.25
Each line ends with the local moment (μB).
Fractional coordinates of all 4 atoms:
1 Mn 0.506 0.506 0.506  3.43
2 Ag 0.748 0.748 0.748  0.00
3 Cu 0.994 0.994 0.994  0.02
4 Cu 0.252 0.252 0.252  0.07

---

#two
VASP calculation (PBE) on MnCu2Ag after structural relaxation.

Results
DOS at the Fermi energy = 1.87 states/eV/cell
Size of the total moment = 3.9 μB/f.u.

Unit cell a=4.632 b=4.632 c=4.708 alpha=79.20 beta=79.20 gamma=35.17
Each line ends with the local moment (μB).
Fractional coordinates of all 4 atoms:
1 Cu 0.005 0.005 0.985  0.07
2 Cu 0.495 0.495 0.515  0.07
3 Ag 0.250 0.250 0.250  0.03
4 Mn 0.750 0.750 0.750  3.64

---

Short version: #one is the least stable of them.

---

#one
VASP calculation (PBE) on SbMoBr2 after structural relaxation.

Results
DOS at the Fermi energy = 3.68 states/eV/cell
Size of the total moment = 0.4 μB/f.u.

Unit cell a=3.143 b=3.143 c=10.356 alpha=90.00 beta=90.00 gamma=90.00
Each line ends with the local moment (μB).
Fractional coordinates of all 4 atoms:
1 Sb 0.500 0.500 0.750  0.00
2 Br 0.000 0.000 0.405  0.01
3 Br 0.000 0.000 0.095  0.01
4 Mo 0.500 0.500 0.250  0.37

---

#two
VASP calculation (PBE) on SbMoBr2 after structural relaxation.

Results
DOS at the Fermi energy = 3.79 states/eV/cell
Size of the total moment = 0.0 μB/f.u.

Unit cell a=9.220 b=9.220 c=9.220 alpha=22.10 beta=22.10 gamma=22.10
Fractional coordinates of all 4 atoms:
1 Br 0.227 0.227 0.227
2 Br 0.012 0.012 0.012
3 Mo 0.499 0.499 0.499
4 Sb 0.761 0.761 0.761

---

Short version: #one is the least stable of them.

---

#one
VASP calculation (PBE) on TaAl4 after structural relaxation.

Results
DOS at the Fermi energy = 6.56 states/eV/cell
Size of the total moment = 0.8 μB/f.u.

Unit cell a=5.277 b=5.277 c=5.277 alpha=109.47 beta=109.47 gamma=109.47
Each line ends with the local moment (μB).
Fractional coordinates of all 5 atoms:
1 Al 0.000 0.500 0.000  0.01
2 Al 0.500 0.500 0.500  0.01
3 Al 0.000 0.000 0.500  0.01
4 Al 0.500 0.000 0.000  0.01
5 Ta 0.000 0.000 0.000  0.30

---

#two
VASP calculation (PBE) on TaAl4 after structural relaxation.

Results
DOS at the Fermi energy = 3.05 states/eV/cell
Size of the total moment = 0.0 μB/f.u.

Unit cell a=5.028 b=5.028 c=5.028 alpha=98.00 beta=98.00 gamma=136.20
Fractional coordinates of all 5 atoms:
1 Al 0.797 0.388 0.185
2 Al 0.388 0.203 0.591
3 Al 0.203 0.612 0.815
4 Al 0.612 0.797 0.409
5 Ta 0.000 0.000 0.000

---

Short version: #one is the least stable of them.

---

#one
VASP calculation (PBE) on ZrGeTeI2 after structural relaxation.

Results
DOS at the Fermi energy = 5.07 states/eV/cell
Size of the total moment = 1.8 μB/f.u.

Unit cell a=5.723 b=5.723 c=5.663 alpha=90.00 beta=90.00 gamma=90.00
Each line ends with the local moment (μB).
Fractional coordinates of all 5 atoms:
1 Ge 0.500 0.500 0.500  0.55
2 I 0.500 0.000 0.000  -0.01
3 I 0.000 0.500 0.000  -0.01
4 Te 0.000 0.000 0.500  -0.07
5 Zr 0.000 0.000 0.000  0.39

---

#two
VASP calculation (PBE) on ZrGeTeI2 after structural relaxation.

Results
DOS at the Fermi energy = 5.03 states/eV/cell
Size of the total moment = 2.1 μB/f.u.

Unit cell a=5.503 b=5.503 c=5.642 alpha=90.00 beta=90.00 gamma=90.00
Each line ends with the local moment (μB).
Fractional coordinates of all 5 atoms:
1 Zr 0.500 0.500 0.500  1.48
2 Te 0.000 0.000 0.500  -0.11
3 Ge 0.000 0.000 0.000  0.00
4 I 0.000 0.500 0.000  -0.03
5 I 0.500 0.000 0.000  -0.03

---

Short version: #two is the least stable of them.

---

#one
VASP calculation (PBE) on Mg3H2Ir4 after structural relaxation.

Results
DOS at the Fermi energy = 4.31 states/eV/cell
Size of the total moment = 0.0 μB/f.u.

Unit cell a=5.101 b=4.455 c=6.731 alpha=89.97 beta=108.68 gamma=115.99
Fractional coordinates of all 9 atoms:
1 Mg 0.734 0.842 0.002
2 Mg 0.584 0.268 0.615
3 Mg 0.025 0.488 0.371
4 H 0.441 0.196 0.904
5 H 0.020 0.985 0.468
6 Ir 0.397 0.175 0.155
7 Ir 0.047 0.999 0.729
8 Ir 0.127 0.539 0.969
9 Ir 0.599 0.775 0.358

---

#two
VASP calculation (PBE) on Mg3H2Ir4 after structural relaxation.

Results
DOS at the Fermi energy = 4.64 states/eV/cell
Size of the total moment = 0.0 μB/f.u.

Unit cell a=5.065 b=4.561 c=6.652 alpha=90.05 beta=107.86 gamma=116.75
Fractional coordinates of all 9 atoms:
1 Ir 0.095 0.973 0.736
2 Ir 0.520 0.193 0.188
3 Ir 0.252 0.559 0.939
4 Ir 0.678 0.765 0.391
5 H 0.479 0.343 0.937
6 H 0.294 0.751 0.190
7 Mg 0.135 0.494 0.475
8 Mg 0.886 0.943 0.063
9 Mg 0.638 0.247 0.652

---

Short version: #one is the least stable of them.

---

#one
VASP calculation (PBE) on AgW after structural relaxation.

Results
DOS at the Fermi energy = 2.25 states/eV/cell
Size of the total moment = 0.0 μB/f.u.

Unit cell a=2.717 b=5.737 c=4.523 alpha=90.00 beta=90.00 gamma=76.31
Fractional coordinates of all 4 atoms:
1 W 0.558 0.884 0.250
2 W 0.442 0.116 0.750
3 Ag 0.815 0.371 0.250
4 Ag 0.185 0.629 0.750

---

#two
VASP calculation (PBE) on AgW after structural relaxation.

Results
DOS at the Fermi energy = 3.43 states/eV/cell
Size of the total moment = 0.0 μB/f.u.

Unit cell a=2.979 b=5.755 c=8.638 alpha=90.00 beta=90.00 gamma=90.00
Fractional coordinates of all 8 atoms:
1 Ag 0.750 0.599 0.369
2 Ag 0.750 0.901 0.869
3 Ag 0.250 0.401 0.631
4 Ag 0.250 0.099 0.131
5 W 0.750 0.387 0.916
6 W 0.250 0.613 0.084
7 W 0.750 0.113 0.416
8 W 0.250 0.887 0.584

---

Short version: #two is the least stable of them.

---

#one
VASP calculation (PBE) on LiTbNd2 after structural relaxation.

Results
DOS at the Fermi energy = 4.74 states/eV/cell
Size of the total moment = 0.0 μB/f.u.

Unit cell a=5.603 b=5.603 c=5.603 alpha=60.00 beta=60.00 gamma=60.00
Fractional coordinates of all 4 atoms:
1 Li 0.500 0.500 0.500
2 Tb 0.000 0.000 0.000
3 Nd 0.250 0.250 0.250
4 Nd 0.750 0.750 0.750

---

#two
VASP calculation (PBE) on LiTbNd2 after structural relaxation.

Results
DOS at the Fermi energy = 5.65 states/eV/cell
Size of the total moment = 0.0 μB/f.u.

Unit cell a=3.655 b=3.655 c=9.227 alpha=90.00 beta=90.00 gamma=90.00
Fractional coordinates of all 4 atoms:
1 Li 0.500 0.500 0.000
2 Tb 0.500 0.500 0.500
3 Nd 0.000 0.000 0.229
4 Nd 0.000 0.000 0.771

---

Short version: #one is the least stable of them.

---

#one
VASP calculation (PBE) on P2PbBr after structural relaxation.

Results
DOS at the Fermi energy = 0.87 states/eV/cell
Size of the total moment = 0.0 μB/f.u.

Unit cell a=4.824 b=4.824 c=7.912 alpha=75.49 beta=75.49 gamma=41.98
Fractional coordinates of all 4 atoms:
1 P 0.038 0.038 0.883
2 P 0.692 0.692 0.787
3 Br 0.250 0.250 0.298
4 Pb 0.521 0.521 0.532

---

#two
VASP calculation (PBE) on P2PbBr after structural relaxation.

Results
DOS at the Fermi energy = 7.95 states/eV/cell
Size of the total moment = 0.0 μB/f.u.

Unit cell a=6.949 b=6.949 c=7.014 alpha=60.31 beta=60.31 gamma=90.00
Fractional coordinates of all 8 atoms:
1 Br 0.250 0.750 0.500
2 Br 0.500 0.500 0.000
3 P 0.638 0.125 0.250
4 P 0.375 0.362 0.750
5 P 0.875 0.888 0.750
6 P 0.112 0.625 0.250
7 Pb 0.000 0.000 0.000
8 Pb 0.750 0.250 0.500

---

Short version: #two is the least stable of them.

---

#one
VASP calculation (PBE) on Eu2HgPt after structural relaxation.

Results
DOS at the Fermi energy = 15.71 states/eV/cell
Size of the total moment = 14.2 μB/f.u.

Unit cell a=3.718 b=3.718 c=7.551 alpha=90.00 beta=90.00 gamma=90.00
Each line ends with the local moment (μB).
Fractional coordinates of all 4 atoms:
1 Eu 0.000 0.000 0.775  6.84
2 Eu 0.000 0.000 0.225  6.84
3 Hg 0.500 0.500 0.500  0.01
4 Pt 0.500 0.500 0.000  -0.07

---

#two
VASP calculation (PBE) on Eu2HgPt after structural relaxation.

Results
DOS at the Fermi energy = 23.04 states/eV/cell
Size of the total moment = 14.5 μB/f.u.

Unit cell a=4.184 b=4.184 c=10.234 alpha=78.21 beta=78.21 gamma=60.00
Each line ends with the local moment (μB).
Fractional coordinates of all 4 atoms:
1 Eu 0.888 0.888 0.337  6.86
2 Eu 0.112 0.112 0.663  6.86
3 Hg 0.000 0.000 0.000  0.04
4 Pt 0.500 0.500 0.500  -0.07

---

Short version: #two is the least stable of them.

---

#one
VASP calculation (PBE) on Zn3BSe after structural relaxation.

Results
DOS at the Fermi energy = 5.96 states/eV/cell
Size of the total moment = 0.0 μB/f.u.

Unit cell a=4.297 b=4.297 c=4.297 alpha=90.00 beta=90.00 gamma=90.00
Fractional coordinates of all 5 atoms:
1 B 0.000 0.000 0.000
2 Zn 0.500 0.000 0.000
3 Zn 0.000 0.000 0.500
4 Zn 0.000 0.500 0.000
5 Se 0.500 0.500 0.500

---

#two
VASP calculation (PBE) on Zn3BSe after structural relaxation.

Results
DOS at the Fermi energy = 5.45 states/eV/cell
Size of the total moment = 0.0 μB/f.u.

Unit cell a=4.924 b=4.924 c=4.924 alpha=90.00 beta=90.00 gamma=90.00
Fractional coordinates of all 5 atoms:
1 Zn 0.000 0.500 0.000
2 Zn 0.500 0.000 0.000
3 Zn 0.000 0.000 0.500
4 B 0.500 0.500 0.500
5 Se 0.000 0.000 0.000

---

Short version: #two is the least stable of them.